Entry 1:
# YInSb2 | the Alexandria database | PBE | optimized geometry
data_YInSb2
_cell_length_a 4.2139
_cell_length_b 4.5480
_cell_length_c 5.9822
_cell_angle_alpha 90.00
_cell_angle_beta 102.61
_cell_angle_gamma 90.00
_symmetry_space_group_name_H-M 'P 1 m 1'
_symmetry_Int_Tables_number 6
loop_
_symmetry_equiv_pos_as_xyz
'x,y,z'
'x,-y,z'
loop_
_atom_site_label
_atom_site_type_symbol
_atom_site_fract_x
_atom_site_fract_y
_atom_site_fract_z
_atom_site_occupancy
Y1 Y 0.0000 0.0000 0.0000 1
In1 In 0.1513 0.5000 0.4237 1
Sb1 Sb 0.4676 0.5000 0.9098 1
Sb2 Sb 0.6776 0.0000 0.4397 1
# energy: -19.5 eV/cell
# formation energy from raw total energies: -0.50 eV per atom

=====

Entry 2:
# Li6Pd5Au | the Alexandria database | PBE | optimized geometry
data_Li6Pd5Au
_cell_length_a 4.2479
_cell_length_b 6.0441
_cell_length_c 6.6923
_cell_angle_alpha 90.00
_cell_angle_beta 108.24
_cell_angle_gamma 90.00
_symmetry_space_group_name_H-M 'P 1 2/m 1'
_symmetry_Int_Tables_number 10
loop_
_symmetry_equiv_pos_as_xyz
'x,y,z'
'-x,-y,-z'
'-x,y,-z'
'x,-y,z'
loop_
_atom_site_label
_atom_site_type_symbol
_atom_site_fract_x
_atom_site_fract_y
_atom_site_fract_z
_atom_site_occupancy
Li1 Li 0.0000 0.2446 0.0000 1
Li2 Li 0.3313 0.2480 0.6631 1
Pd1 Pd 0.1669 0.0000 0.3336 1
Pd2 Pd 0.1667 0.5000 0.3331 1
Pd3 Pd 0.5000 0.0000 0.0000 1
Au1 Au 0.5000 0.5000 0.0000 1
# energy: -46.1 eV/cell
# energy above the lowest structure with this stoichiometry: 0.000 eV per atom

=====

Entry 3:
# PmNdAsAu | the Alexandria database | PBE | optimized geometry
data_PmNdAsAu
_cell_length_a 7.3665
_cell_length_b 7.3665
_cell_length_c 7.3665
_cell_angle_alpha 90.00
_cell_angle_beta 90.00
_cell_angle_gamma 90.00
_symmetry_space_group_name_H-M 'F -4 3 m'
_symmetry_Int_Tables_number 216
_symmetry_space_group_name_Hall 'F -4 2 3'
loop_
_atom_site_label
_atom_site_type_symbol
_atom_site_fract_x
_atom_site_fract_y
_atom_site_fract_z
_atom_site_occupancy
Pm1 Pm 0.0000 0.0000 0.0000 1
Nd1 Nd 0.0000 0.0000 0.5000 1
As1 As 0.2500 0.2500 0.7500 1
Au1 Au 0.2500 0.2500 0.2500 1
# energy: -84.0 eV/cell

=====

Entry 4:
# LaZn2Cd3 | the Alexandria database | PBE | optimized geometry
data_LaZn2Cd3
_cell_length_a 17.0211
_cell_length_b 4.4991
_cell_length_c 8.0457
_cell_angle_alpha 90.00
_cell_angle_beta 116.92
_cell_angle_gamma 90.00
_symmetry_space_group_name_H-M 'C 1 2/m 1'
_symmetry_Int_Tables_number 12
loop_
_symmetry_equiv_pos_as_xyz
'x,y,z'
'-x,-y,-z'
'-x,y,-z'
'x,-y,z'
'x+1/2,y+1/2,z'
'-x+1/2,-y+1/2,-z'
'-x+1/2,y+1/2,-z'
'x+1/2,-y+1/2,z'
loop_
_atom_site_label
_atom_site_type_symbol
_atom_site_fract_x
_atom_site_fract_y
_atom_site_fract_z
_atom_site_occupancy
La1 La 0.1445 0.0000 0.0697 1
Zn1 Zn 0.0164 0.5000 0.1630 1
Zn2 Zn 0.2080 0.0000 0.7293 1
Cd1 Cd 0.0413 0.0000 0.3759 1
Cd2 Cd 0.1125 0.5000 0.7235 1
Cd3 Cd 0.1845 0.5000 0.4458 1
# energy: -46.7 eV/cell